The following is a DFT calculation (PBE-GGA) of crystalline AlCoCu2H at its relaxed geometry.

Cell lengths 4.656, 4.656, 3.009 Å; angles 90.00, 90.00, 90.00 degrees
Positions (direct):
1 Al 0.000 0.000 0.000
2 Co 0.500 0.500 0.500
3 Cu 0.000 0.500 0.000
4 Cu 0.500 0.000 0.000
5 H 0.000 0.000 0.500

Values from the calculation:
As for the distance to the lowest polymorph of the same formula: 859 meV per atom. As for the symmetry: P4/mmm, No. 123. The density of states at the Fermi level comes out at 3.77 states/eV per cell.